# Na3Sb2Pt

A relaxed Na3Sb2Pt crystal (GGA-PBE, Alexandria).

* total energy: -0.2504 Ry per atom
* E_form (uncorrected): -0.366 eV per atom

Lattice parameters (Å, degrees): 5.8462 16.8151 6.7063 90.00 90.00 90.00
Last column: nearest neighbours and their distance in Å.
Space group Ibam (No. 72)
Symmetry-distinct sites (fractional):
1 Na 0.0000 0.0000 0.2500 (multiplicity 4)  2 Pt 2.92
2 Na 0.1283 0.1905 0.0000 (multiplicity 8)  3 Sb 3.08-3.25
3 Sb 0.1122 0.3819 0.0000 (multiplicity 8)  2 Pt 2.68
4 Pt 0.0000 0.5000 0.2500 (multiplicity 4)  4 Sb 2.68, 2 Na 2.92

---

# ErCuSi2Pt

A relaxed ErCuSi2Pt crystal (GGA-PBE, Alexandria).

* total energy: -0.4370 Ry per atom
* E_form (uncorrected): -0.837 eV per atom

Lattice parameters (Å, degrees): 4.0272 4.0272 10.1006 90.00 90.00 90.00
Last column: nearest neighbours and their distance in Å.
Space group I-4m2 (No. 119)
Symmetry-distinct sites (fractional):
1 Er 0.0000 0.0000 0.0000 (multiplicity 2)  8 Si 3.07, 4 Pt 3.23, 4 Cu 3.23
2 Cu 0.0000 0.5000 0.7500 (multiplicity 2)  4 Si 2.43
3 Si 0.0000 0.0000 0.3852 (multiplicity 4)  1 Si 2.32, 2 Cu 2.43, 2 Pt 2.43
4 Pt 0.0000 0.5000 0.2500 (multiplicity 2)  4 Si 2.43

---

# Pr3Ho2Al3

A relaxed Pr3Ho2Al3 crystal (GGA-PBE, Alexandria).

* total energy: -0.3357 Ry per atom
* ΔH_f (0 K): -227 meV/atom

Lattice parameters (Å, degrees): 8.6303 8.6303 3.3347 90.00 90.00 120.00
Last column: nearest neighbours and their distance in Å.
Space group P-62m (No. 189)
Symmetry-distinct sites (fractional):
1 Pr 0.0000 0.7545 0.0000 (multiplicity 3)  2 Ho 3.32, 4 Pr 3.33-3.67, 6 Al 3.39-3.56
2 Ho 0.3333 0.6667 0.0000 (multiplicity 2)  6 Al 3.14, 3 Pr 3.32, 2 Ho 3.33
3 Al 0.0000 0.3902 0.5000 (multiplicity 3)  4 Ho 3.14, 2 Al 3.33, 4 Pr 3.39

---

# Ti3BiBr

A relaxed Ti3BiBr crystal (GGA-PBE, Alexandria).

* total energy: -0.3569 Ry per atom
* E_form (uncorrected): 0.992 eV per atom

Lattice parameters (Å, degrees): 5.4164 5.4164 5.4164 90.00 90.00 90.00
Last column: nearest neighbours and their distance in Å.
Space group Pm-3m (No. 221)
Symmetry-distinct sites (fractional):
1 Ti 0.0000 0.0000 0.5000 (multiplicity 3)  2 Bi 2.71
2 Bi 0.0000 0.0000 0.0000 (multiplicity 1)  6 Ti 2.71
3 Br 0.5000 0.5000 0.5000 (multiplicity 1)  12 Ti 3.83

---

# NaTlSb2

A relaxed NaTlSb2 crystal (GGA-PBE, Alexandria).

* total energy: -0.2146 Ry per atom
* E_form (uncorrected): 0.063 eV per atom

Lattice parameters (Å, degrees): 7.6948 7.6948 7.6948 90.00 90.00 90.00
Last column: nearest neighbours and their distance in Å.
Space group Fm-3m (No. 225)
Symmetry-distinct sites (fractional):
1 Na 0.0000 0.0000 0.0000 (multiplicity 4)  8 Sb 3.33
2 Tl 0.0000 0.0000 0.5000 (multiplicity 4)  8 Sb 3.33
3 Sb 0.2500 0.2500 0.2500 (multiplicity 8)  4 Tl 3.33, 4 Na 3.33

---

# Tm2TlTe4

A relaxed Tm2TlTe4 crystal (GGA-PBE, Alexandria).

* total energy: -0.3225 Ry per atom
* E_form (uncorrected): -0.976 eV per atom

Lattice parameters (Å, degrees): 4.2725 14.6471 15.1717 90.00 90.00 90.00
Last column: nearest neighbours and their distance in Å.
Space group Cmcm (No. 63)
Symmetry-distinct sites (fractional):
1 Tm 0.0000 0.1373 0.0610 (multiplicity 8)  6 Te 3.01-3.08
2 Tl 0.0000 0.4046 0.2500 (multiplicity 4)  6 Te 3.21-3.54
3 Te 0.0000 0.0685 0.2500 (multiplicity 4)  2 Tm 3.04, 2 Tl 3.21
4 Te 0.0000 0.2307 0.6177 (multiplicity 8)  3 Tm 3.01-3.04
5 Te 0.0000 0.5000 0.0000 (multiplicity 4)  4 Tm 3.08

---

# LiNbCuPt

A relaxed LiNbCuPt crystal (GGA-PBE, Alexandria).

* total energy: -0.4252 Ry per atom
* ΔH_f (0 K): -255 meV/atom

Lattice parameters (Å, degrees): 6.2039 6.2039 6.2039 90.00 90.00 90.00
Last column: nearest neighbours and their distance in Å.
Space group F-43m (No. 216)
Symmetry-distinct sites (fractional):
1 Li 0.0000 0.0000 0.0000 (multiplicity 4)  4 Cu 2.69, 4 Pt 2.69
2 Nb 0.0000 0.0000 0.5000 (multiplicity 4)  4 Pt 2.69, 4 Cu 2.69
3 Cu 0.2500 0.2500 0.7500 (multiplicity 4)  4 Nb 2.69, 4 Li 2.69
4 Pt 0.2500 0.2500 0.2500 (multiplicity 4)  4 Nb 2.69, 4 Li 2.69

---

# NdEuMg2

A relaxed NdEuMg2 crystal (GGA-PBE, Alexandria).

* total energy: -0.3407 Ry per atom
* ΔH_f (0 K): -78 meV/atom

Lattice parameters (Å, degrees): 7.8945 7.8945 7.8945 90.00 90.00 90.00
Last column: nearest neighbours and their distance in Å.
Space group Fm-3m (No. 225)
Symmetry-distinct sites (fractional):
1 Nd 0.0000 0.0000 0.0000 (multiplicity 4)  8 Mg 3.42
2 Eu 0.0000 0.0000 0.5000 (multiplicity 4)  8 Mg 3.42
3 Mg 0.2500 0.2500 0.2500 (multiplicity 8)  4 Nd 3.42, 4 Eu 3.42

---

# RbCaPd2

A relaxed RbCaPd2 crystal (GGA-PBE, Alexandria).

* total energy: -0.2442 Ry per atom
* ΔH_f (0 K): 16 meV/atom

Lattice parameters (Å, degrees): 7.4093 7.4093 7.4093 90.00 90.00 90.00
Last column: nearest neighbours and their distance in Å.
Space group Fm-3m (No. 225)
Symmetry-distinct sites (fractional):
1 Rb 0.0000 0.0000 0.0000 (multiplicity 4)  8 Pd 3.21
2 Ca 0.0000 0.0000 0.5000 (multiplicity 4)  8 Pd 3.21
3 Pd 0.2500 0.2500 0.2500 (multiplicity 8)  4 Ca 3.21, 4 Rb 3.21

---

# NdReIO4

A relaxed NdReIO4 crystal (GGA-PBE, Alexandria).

* total energy: -0.5483 Ry per atom
* E_form (uncorrected): -1.946 eV per atom

Lattice parameters (Å, degrees): 11.2633 7.2420 7.2793 90.00 104.00 90.00
Last column: nearest neighbours and their distance in Å.
Space group C2/m (No. 12)
Symmetry-distinct sites (fractional):
1 Nd 0.2400 0.0000 0.1201 (multiplicity 4)  6 O 2.41-2.55
2 Re 0.1301 0.5000 0.2745 (multiplicity 4)  4 O 1.76-1.86
3 I 0.0145 0.0000 0.7502 (multiplicity 4)  2 Nd 3.22-3.23, 5 O 3.43-3.55, 1 I 3.58
4 O 0.0307 0.5000 0.7888 (multiplicity 4)  1 Re 1.76
5 O 0.1942 0.3240 0.1388 (multiplicity 8)  1 Re 1.86
6 O 0.2001 0.5000 0.5189 (multiplicity 4)  1 Re 1.76

---

# ZnSiTe2

A relaxed ZnSiTe2 crystal (GGA-PBE, Alexandria).

* total energy: -0.2148 Ry per atom
* E_form (uncorrected): 0.322 eV per atom

Lattice parameters (Å, degrees): 3.2147 3.2147 9.4415 90.00 90.00 90.00
Last column: nearest neighbours and their distance in Å.
Space group P4mm (No. 99)
Symmetry-distinct sites (fractional):
1 Zn 0.0000 0.0000 0.0000 (multiplicity 1)  4 Si 2.67
2 Si 0.5000 0.5000 0.1492 (multiplicity 1)  4 Zn 2.67
3 Te 0.0000 0.0000 0.3707 (multiplicity 1)  4 Si 3.09, 4 Te 3.21
4 Te 0.5000 0.5000 0.7627 (multiplicity 1)  4 Zn 3.19, 4 Te 3.21

---

# CsGd2Er

A relaxed CsGd2Er crystal (GGA-PBE, Alexandria).

* total energy: -0.5944 Ry per atom
* ΔH_f (0 K): 307 meV/atom

Lattice parameters (Å, degrees): 3.6520 3.6520 39.3076 90.00 90.00 120.00
Last column: nearest neighbours and their distance in Å.
Space group R-3m (No. 166, hexagonal axes)
Symmetry-distinct sites (fractional):
1 Cs 0.0000 0.0000 0.0000 (multiplicity 3)  6 Cs 3.65, 2 Gd 3.77
2 Gd 0.0000 0.0000 0.0959 (multiplicity 6)  3 Er 3.49, 6 Gd 3.65, 1 Cs 3.77
3 Er 0.0000 0.0000 0.5000 (multiplicity 3)  6 Gd 3.49, 6 Er 3.65

---

The records above yield DOS(E_F) values of 3.72, 3.87, 8.81, 7.87, 15.37, 15.95, 20.64, 36.46, 13.12, 4.87, 1.56, 16.95 states/eV per cell, respectively.